<P>
PmSm3Rh2 | PBE | relaxed

The structure belongs to space group C2/m (No. 12); the cell edges are 16.607, 4.243 and 11.506 Å and the angles 90.00°, 120.26° and 90.00°. The distinct sites, in fractional coordinates, are Pm at (0.063, 0.000, 0.188), Sm at (0.063, 0.500, 0.687), Sm at (0.187, 0.500, 0.061), Sm at (0.188, 0.000, 0.564), Rh at (0.125, 0.000, 0.874) and Rh at (0.125, 0.500, 0.377).



<Q>
PmSm3Rh2 | PBE | relaxed

The structure belongs to space group Pmc2_1 (No. 26); the cell edges are 4.866, 8.843 and 7.262 Å and the angles 90.00°, 90.00° and 90.00°. The distinct sites, in fractional coordinates, are Pm at (0.000, 0.085, 0.000), Sm at (0.000, 0.339, 0.632), Sm at (0.500, 0.163, 0.352), Sm at (0.500, 0.415, 0.984), Rh at (0.000, 0.332, 0.236) and Rh at (0.500, 0.169, 0.748).



Which of them is least stable? Easy: <P>.



<P>
PmSm2Rh2 | PBE | relaxed

The structure belongs to space group Cmcm (No. 63); the cell edges are 3.868, 26.893 and 4.739 Å and the angles 90.00°, 90.00° and 90.00°. The distinct sites, in fractional coordinates, are Pm at (0.000, 0.135, 0.250), Sm at (0.000, 0.233, 0.750), Sm at (0.000, 0.449, 0.250), Rh at (0.000, 0.033, 0.250) and Rh at (0.000, 0.340, 0.250).



<Q>
PmSm2Rh2 | PBE | relaxed

The structure belongs to space group Cmc2_1 (No. 36); the cell edges are 3.953, 17.362 and 7.529 Å and the angles 90.00°, 90.00° and 90.00°. The distinct sites, in fractional coordinates, are Pm at (0.000, 0.123, 0.000), Sm at (0.000, 0.312, 0.889), Sm at (0.000, 0.469, 0.165), Rh at (0.000, 0.052, 0.364) and Rh at (0.000, 0.306, 0.284).



Which of them is least stable? Easy: <Q>.



<P>
PmSn2Rh | PBE | relaxed

The structure belongs to space group P4/mmm (No. 123); the cell edges are 3.399, 3.399 and 7.619 Å and the angles 90.00°, 90.00° and 90.00°. The distinct sites, in fractional coordinates, are Pm at (0.000, 0.000, 0.000), Sn at (0.500, 0.500, 0.297) and Rh at (0.000, 0.000, 0.500).



<Q>
PmSn2Rh | PBE | relaxed

The structure belongs to space group R-3m (No. 166, hexagonal axes); the cell edges are 4.4996, 4.4996 and 16.0952 Å and the angles 90.00°, 90.00° and 120.00°. The distinct sites, in fractional coordinates, are Pm at (0.0000, 0.0000, 0.0000), Sn at (0.0000, 0.0000, 0.2219) and Rh at (0.0000, 0.0000, 0.5000).



Which of them is least stable? Easy: <P>.



<P>
PmSn2Rh | PBE | relaxed

The structure belongs to space group P4/mmm (No. 123); the cell edges are 4.440, 4.440 and 4.579 Å and the angles 90.00°, 90.00° and 90.00°. The distinct sites, in fractional coordinates, are Pm at (0.000, 0.000, 0.000), Sn at (0.000, 0.500, 0.500) and Rh at (0.500, 0.500, 0.000).



<Q>
PmSn2Rh | PBE | relaxed

The structure belongs to space group Cmmm (No. 65); the cell edges are 4.563, 19.202 and 4.443 Å and the angles 90.00°, 90.00° and 90.00°. The distinct sites, in fractional coordinates, are Pm at (0.000, 0.140, 0.000), Sn at (0.000, 0.000, 0.500), Sn at (0.000, 0.292, 0.500), Sn at (0.000, 0.500, 0.000) and Rh at (0.000, 0.425, 0.500).



<R>
PmSn2Rh | PBE | relaxed

The structure belongs to space group Pnma (No. 62); the cell edges are 8.359, 7.367 and 5.965 Å and the angles 90.00°, 90.00° and 90.00°. The distinct sites, in fractional coordinates, are Pm at (0.032, 0.250, 0.111), Sn at (0.186, 0.046, 0.617) and Rh at (0.084, 0.750, 0.369).



Which of them is least stable? Easy: <P>.



<P>
PmSnRh | PBE | relaxed

The structure belongs to space group P-6m2 (No. 187); the cell edges are 4.6286, 4.6286 and 3.7774 Å and the angles 90.00°, 90.00° and 120.00°. The distinct sites, in fractional coordinates, are Pm at (0.0000, 0.0000, 0.0000), Sn at (0.3333, 0.6667, 0.5000) and Rh at (0.6667, 0.3333, 0.5000).



<Q>
PmSnRh | PBE | relaxed

The structure belongs to space group F-43m (No. 216); the cell edges are 6.684, 6.684 and 6.684 Å and the angles 90.00°, 90.00° and 90.00°. The distinct sites, in fractional coordinates, are Pm at (0.000, 0.000, 0.000), Sn at (0.000, 0.000, 0.500) and Rh at (0.250, 0.250, 0.750).



<R>
PmSnRh | PBE | relaxed

The structure belongs to space group I4mm (No. 107); the cell edges are 3.388, 3.388 and 11.524 Å and the angles 90.00°, 90.00° and 90.00°. The distinct sites, in fractional coordinates, are Pm at (0.000, 0.000, 0.000), Sn at (0.000, 0.000, 0.293) and Rh at (0.000, 0.000, 0.668).



<S>
PmSnRh | PBE | relaxed

The structure belongs to space group Ima2 (No. 46); the cell edges are 7.777, 11.451 and 9.652 Å and the angles 90.00°, 90.00° and 90.00°. The distinct sites, in fractional coordinates, are Pm at (0.000, 0.000, 0.000), Pm at (0.010, 0.170, 0.537), Sn at (0.250, 0.168, 0.811), Sn at (0.250, 0.534, 0.824), Sn at (0.250, 0.694, 0.306), Rh at (0.050, 0.144, 0.242) and Rh at (0.250, 0.512, 0.122).



Which of them is least stable? Easy: <R>.



<P>
PmSnRh4 | PBE | relaxed

The structure belongs to space group Pmma (No. 51); the cell edges are 7.634, 4.123 and 7.013 Å and the angles 90.00°, 90.00° and 90.00°. The distinct sites, in fractional coordinates, are Pm at (0.250, 0.000, 0.176), Sn at (0.250, 0.000, 0.746), Rh at (0.000, 0.000, 0.500), Rh at (0.036, 0.500, 0.801) and Rh at (0.250, 0.500, 0.463).



<Q>
PmSnRh4 | PBE | relaxed

The structure belongs to space group F-43m (No. 216); the cell edges are 7.536, 7.536 and 7.536 Å and the angles 90.00°, 90.00° and 90.00°. The distinct sites, in fractional coordinates, are Pm at (0.000, 0.000, 0.000), Sn at (0.250, 0.250, 0.250) and Rh at (0.124, 0.124, 0.624).



Which of them is least stable? Easy: <P>.



<P>
PmSn3Rh | PBE | relaxed

The structure belongs to space group C2/c (No. 15); the cell edges are 12.740, 12.595 and 6.517 Å and the angles 90.00°, 106.89° and 90.00°. The distinct sites, in fractional coordinates, are Pm at (0.153, 0.096, 0.483), Sn at (0.096, 0.155, 0.965), Sn at (0.129, 0.337, 0.641), Sn at (0.139, 0.394, 0.101), Rh at (0.000, 0.265, 0.250) and Rh at (0.000, 0.487, 0.750).



<Q>
PmSn3Rh | PBE | relaxed

The structure belongs to space group P4mm (No. 99); the cell edges are 4.766, 4.766 and 5.563 Å and the angles 90.00°, 90.00° and 90.00°. The distinct sites, in fractional coordinates, are Pm at (0.000, 0.000, 0.000), Sn at (0.000, 0.500, 0.470), Sn at (0.500, 0.500, 0.810) and Rh at (0.500, 0.500, 0.262).



Which of them is least stable? Easy: <Q>.



<P>
PmSn2Rh2 | PBE | relaxed

The structure belongs to space group P4/nmm (No. 129, origin choice 2); the cell edges are 4.482, 4.482 and 10.761 Å and the angles 90.00°, 90.00° and 90.00°. The distinct sites, in fractional coordinates, are Pm at (0.250, 0.250, 0.249), Sn at (0.250, 0.250, 0.870), Sn at (0.250, 0.750, 0.500), Rh at (0.250, 0.250, 0.632) and Rh at (0.250, 0.750, 0.000).



<Q>
PmSn2Rh2 | PBE | relaxed

The structure belongs to space group C2/c (No. 15); the cell edges are 9.737, 9.359 and 5.535 Å and the angles 90.00°, 115.26° and 90.00°. The distinct sites, in fractional coordinates, are Pm at (0.000, 0.143, 0.250), Sn at (0.220, 0.395, 0.097), Rh at (0.000, 0.213, 0.750) and Rh at (0.000, 0.450, 0.250).



Which of them is least stable? Easy: <Q>.



<P>
PmSn2Rh3 | PBE | relaxed

The structure belongs to space group C2/m (No. 12); the cell edges are 17.522, 4.268 and 10.102 Å and the angles 90.00°, 107.15° and 90.00°. The distinct sites, in fractional coordinates, are Pm at (0.000, 0.000, 0.000), Pm at (0.171, 0.000, 0.716), Sn at (0.039, 0.500, 0.779), Sn at (0.140, 0.500, 0.458), Sn at (0.189, 0.000, 0.122), Rh at (0.000, 0.500, 0.500), Rh at (0.043, 0.000, 0.338), Rh at (0.112, 0.500, 0.188), Rh at (0.182, 0.500, 0.958) and Rh at (0.212, 0.000, 0.392).



<Q>
PmSn2Rh3 | PBE | relaxed

The structure belongs to space group P-3m1 (No. 164); the cell edges are 4.5720, 4.5720 and 6.4379 Å and the angles 90.00°, 90.00° and 120.00°. The distinct sites, in fractional coordinates, are Pm at (0.0000, 0.0000, 0.0000), Sn at (0.3333, 0.6667, 0.6836), Rh at (0.0000, 0.0000, 0.5000) and Rh at (0.3333, 0.6667, 0.2668).



Which of them is least stable? Easy: <P>.



<P>
PmSn3Rh2 | PBE | relaxed

The structure belongs to space group P-3m1 (No. 164); the cell edges are 6.6120, 6.6120 and 6.9935 Å and the angles 90.00°, 90.00° and 120.00°. The distinct sites, in fractional coordinates, are Pm at (0.3333, 0.6667, 0.1693), Sn at (0.1682, 0.3363, 0.7782), Rh at (0.0000, 0.0000, 0.5000) and Rh at (0.0000, 0.5000, 0.5000).



<Q>
PmSn3Rh2 | PBE | relaxed

The structure belongs to space group C2/m (No. 12); the cell edges are 17.604, 4.352 and 10.612 Å and the angles 90.00°, 103.72° and 90.00°. The distinct sites, in fractional coordinates, are Pm at (0.000, 0.000, 0.000), Pm at (0.145, 0.000, 0.686), Sn at (0.000, 0.500, 0.500), Sn at (0.052, 0.000, 0.347), Sn at (0.136, 0.500, 0.180), Sn at (0.149, 0.500, 0.917), Sn at (0.229, 0.000, 0.370), Rh at (0.008, 0.500, 0.770), Rh at (0.144, 0.500, 0.439) and Rh at (0.202, 0.000, 0.087).



Which of them is least stable? Easy: <P>.